Record 1
Th2Pd8Au3 | PBE | relaxed

a = 5.0487 Å, b = 7.1170 Å, c = 7.7695 Å
α = 117.26°, β = 90.05°, γ = 90.00°
Fractional coordinates of all 13 atoms:
Pd 0.1795 0.8088 0.6176
Pd 0.2766 0.5516 0.1032
Pd 0.3365 0.9672 0.3370
Pd 0.8205 0.1912 0.3824
Pd 0.6635 0.0328 0.6630
Pd 0.7234 0.4484 0.8968
Pd 0.3365 0.3698 0.3370
Pd 0.6635 0.6302 0.6630
Au 0.5000 0.0000 0.0000
Au 0.0000 0.1898 0.0000
Au 0.0000 0.8102 0.0000
Th 0.7979 0.6640 0.3281
Th 0.2021 0.3360 0.6719

**Symmetry**: C2/m (12)
**Total DFT energy (no corrections)**: -72.59 eV per formula unit
**Energy of formation from the pure elements**: -0.490 eV/atom


Record 2
Th2Pd15Au2 | PBE | relaxed

a = 7.0893 Å, b = 7.0893 Å, c = 7.0893 Å
α = 83.57°, β = 83.57°, γ = 83.57°
Fractional coordinates of all 19 atoms:
Pd 0.0000 0.3032 0.6968
Pd 0.3512 0.3512 0.8340
Pd 0.0000 0.5000 0.0000
Pd 0.6968 0.0000 0.3032
Pd 0.0000 0.0000 0.5000
Pd 0.3032 0.0000 0.6968
Pd 0.6488 0.1660 0.6488
Pd 0.5000 0.0000 0.0000
Pd 0.0000 0.6968 0.3032
Pd 0.3032 0.6968 0.0000
Pd 0.8340 0.3512 0.3512
Pd 0.6968 0.3032 0.0000
Pd 0.6488 0.6488 0.1660
Pd 0.3512 0.8340 0.3512
Pd 0.1660 0.6488 0.6488
Th 0.8556 0.8556 0.8556
Th 0.1444 0.1444 0.1444
Au 0.3828 0.3828 0.3828
Au 0.6172 0.6172 0.6172

**Symmetry**: R-3m (166)
**Total DFT energy (no corrections)**: -103.48 eV per formula unit
**Energy of formation from the pure elements**: -0.221 eV/atom


Record 3
Th2Pd8Au | PBE | relaxed

a = 4.7556 Å, b = 6.3144 Å, c = 8.0374 Å
α = 113.13°, β = 107.21°, γ = 90.00°
Fractional coordinates of all 11 atoms:
Pd 0.3593 0.1326 0.7186
Pd 0.0000 0.7427 0.0000
Pd 0.3593 0.5860 0.7186
Pd 0.6407 0.8674 0.2814
Pd 0.1763 0.1763 0.3526
Pd 0.8237 0.8237 0.6474
Pd 0.0000 0.2573 0.0000
Pd 0.6407 0.4140 0.2814
Au 0.5000 0.0000 0.0000
Th 0.8147 0.3147 0.6294
Th 0.1853 0.6853 0.3706

**Symmetry**: Immm (71)
**Total DFT energy (no corrections)**: -65.67 eV per formula unit
**Energy of formation from the pure elements**: -0.547 eV/atom


Record 4
ThPd5Au2 | PBE | relaxed

a = 3.1034 Å, b = 10.1174 Å, c = 10.1116 Å
α = 90.00°, β = 90.00°, γ = 98.82°
Fractional coordinates of all 16 atoms:
Au 0.9007 0.8015 0.3830
Au 0.0993 0.1985 0.8830
Au 0.0993 0.1985 0.6170
Au 0.9007 0.8015 0.1170
Pd 0.0378 0.0756 0.1166
Pd 0.3066 0.6131 0.9904
Pd 0.2252 0.4503 0.7500
Pd 0.9622 0.9244 0.6166
Pd 0.3066 0.6131 0.5096
Pd 0.6934 0.3869 0.4904
Pd 0.0378 0.0756 0.3834
Pd 0.6934 0.3869 0.0096
Pd 0.7748 0.5497 0.2500
Pd 0.9622 0.9244 0.8834
Th 0.8456 0.6911 0.7500
Th 0.1544 0.3089 0.2500

**Symmetry**: Cmcm (63)
**Total DFT energy (no corrections)**: -40.75 eV per formula unit
**Energy of formation from the pure elements**: -0.102 eV/atom


Record 5
ThPd9Au2 | PBE | relaxed

a = 4.1325 Å, b = 4.1325 Å, c = 11.9143 Å
α = 90.00°, β = 90.00°, γ = 90.00°
Fractional coordinates of all 12 atoms:
Pd 0.0000 0.5000 0.5000
Pd 0.5000 0.5000 0.0000
Pd 0.5000 0.0000 0.8258
Pd 0.5000 0.5000 0.3376
Pd 0.0000 0.5000 0.1742
Pd 0.5000 0.0000 0.5000
Pd 0.5000 0.0000 0.1742
Pd 0.5000 0.5000 0.6624
Pd 0.0000 0.5000 0.8258
Th 0.0000 0.0000 0.0000
Au 0.0000 0.0000 0.3410
Au 0.0000 0.0000 0.6590

**Symmetry**: P4/mmm (123)
**Total DFT energy (no corrections)**: -65.03 eV per formula unit
**Energy of formation from the pure elements**: -0.360 eV/atom


Record 6
ThPd3Au9 | PBE | relaxed

a = 5.6153 Å, b = 7.3180 Å, c = 7.1227 Å
α = 80.88°, β = 66.79°, γ = 66.30°
Fractional coordinates of all 13 atoms:
Pd 0.0000 0.0000 0.5000
Pd 0.5000 0.5000 0.0000
Pd 0.5000 0.0000 0.5000
Au 0.9933 0.3360 0.6556
Au 0.7120 0.7877 0.7849
Au 0.4969 0.7877 0.2151
Au 0.3512 0.6640 0.6556
Au 0.2880 0.2123 0.2151
Au 0.0067 0.6640 0.3444
Au 0.6488 0.3360 0.3444
Au 0.5031 0.2123 0.7849
Au 0.0000 0.5000 0.0000
Th 0.0000 0.0000 0.0000

**Symmetry**: C2/m (12)
**Total DFT energy (no corrections)**: -55.86 eV per formula unit
**Energy of formation from the pure elements**: -0.259 eV/atom


Record 7
ThPd5Au4 | PBE | relaxed

a = 4.8102 Å, b = 9.6459 Å, c = 8.1834 Å
α = 90.00°, β = 90.00°, γ = 90.00°
Fractional coordinates of all 20 atoms:
Pd 0.6588 0.5000 0.0000
Pd 0.2574 0.2477 0.3341
Pd 0.7426 0.2523 0.8341
Pd 0.2574 0.2477 0.6659
Pd 0.7426 0.7477 0.8341
Pd 0.2574 0.7523 0.6659
Pd 0.7426 0.2523 0.1659
Pd 0.7426 0.7477 0.1659
Pd 0.2574 0.7523 0.3341
Pd 0.3412 0.0000 0.5000
Au 0.0443 0.5000 0.7459
Au 0.2377 0.3029 0.0000
Au 0.7623 0.8029 0.5000
Au 0.7623 0.1971 0.5000
Au 0.2377 0.6971 0.0000
Au 0.9557 0.0000 0.7541
Au 0.9557 0.0000 0.2459
Au 0.0443 0.5000 0.2541
Th 0.5396 0.5000 0.5000
Th 0.4604 0.0000 0.0000

**Symmetry**: Pmmn (59)
**Total DFT energy (no corrections)**: -49.73 eV per formula unit
**Energy of formation from the pure elements**: -0.324 eV/atom


Record 8
ThPd7Au4 | PBE | relaxed

a = 5.8276 Å, b = 5.0229 Å, c = 8.6051 Å
α = 73.66°, β = 61.10°, γ = 90.13°
Fractional coordinates of all 12 atoms:
Au 0.2445 0.1622 0.3320
Au 0.5189 0.3459 0.6591
Au 0.7555 0.8378 0.6680
Au 0.4811 0.6541 0.3409
Pd 0.5000 0.0000 0.0000
Pd 0.0005 0.3310 0.6710
Pd 0.7431 0.5003 0.0009
Pd 0.2531 0.8316 0.6688
Pd 0.9995 0.6690 0.3290
Pd 0.7469 0.1684 0.3312
Pd 0.2569 0.4997 0.9991
Th 0.0000 0.0000 0.0000

**Symmetry**: P-1 (2)
**Total DFT energy (no corrections)**: -61.48 eV per formula unit
**Energy of formation from the pure elements**: -0.383 eV/atom


| no. | spin magnetization (μB per atom) |
| --- | --- |
| 1 | 0.00 |
| 2 | 0.00 |
| 3 | 0.00 |
| 4 | 0.00 |
| 5 | 0.00 |
| 6 | 0.00 |
| 7 | 0.00 |
| 8 | 0.00 |